# 1
# MgZnGe3 (PBE-GGA, relaxed)
# offset from the most stable computed form = 0 meV/atom
# total energy = -14.24 eV per formula unit
# mass density = 4.382 g/cm3
# density of states at the Fermi level = 0.515 states/eV/atom
# ΔH_f (0 K) = 0.496 eV/atom
data_MgZnGe3
_space_group_name_H-M_alt 'P m -3 m'
_space_group_IT_number 221
_space_group_name_Hall '-P 4 2 3'
_cell_length_a 4.8852
_cell_length_b 4.8852
_cell_length_c 4.8852
_cell_angle_alpha 90.00
_cell_angle_beta 90.00
_cell_angle_gamma 90.00
loop_
_atom_site_label
_atom_site_type_symbol
_atom_site_fract_x
_atom_site_fract_y
_atom_site_fract_z
Mg1 Mg 0.0000 0.0000 0.0000
Zn1 Zn 0.5000 0.5000 0.5000
Ge1 Ge 0.0000 0.5000 0.5000

# 2
# Mg2ZnGe (PBE-GGA, relaxed)
# total energy = -9.47 eV per formula unit
# mass density = 4.191 g/cm3
# density of states at the Fermi level = 0.216 states/eV/atom
# ΔH_f (0 K) = -0.097 eV/atom
data_Mg2ZnGe
_space_group_name_H-M_alt 'P 4/m m m'
_space_group_IT_number 123
_space_group_name_Hall '-P 4 2'
_cell_length_a 4.3690
_cell_length_b 4.3690
_cell_length_c 3.8742
_cell_angle_alpha 90.00
_cell_angle_beta 90.00
_cell_angle_gamma 90.00
loop_
_atom_site_label
_atom_site_type_symbol
_atom_site_fract_x
_atom_site_fract_y
_atom_site_fract_z
Mg1 Mg 0.0000 0.5000 0.0000
Zn1 Zn 0.0000 0.0000 0.5000
Ge1 Ge 0.5000 0.5000 0.5000

# 3
# MgZn2Ge2 (PBE-GGA, relaxed)
# offset from the most stable computed form = 0 meV/atom
# total energy = -13.16 eV per formula unit
# mass density = 5.190 g/cm3
# density of states at the Fermi level = 0.337 states/eV/atom
# ΔH_f (0 K) = 0.044 eV/atom
data_MgZn2Ge2
_space_group_name_H-M_alt 'I 4/m m m'
_space_group_IT_number 139
_space_group_name_Hall '-I 4 2'
_cell_length_a 4.1978
_cell_length_b 4.1978
_cell_length_c 10.9090
_cell_angle_alpha 90.00
_cell_angle_beta 90.00
_cell_angle_gamma 90.00
loop_
_atom_site_label
_atom_site_type_symbol
_atom_site_fract_x
_atom_site_fract_y
_atom_site_fract_z
Mg1 Mg 0.0000 0.0000 0.0000
Zn1 Zn 0.0000 0.5000 0.2500
Ge1 Ge 0.0000 0.0000 0.3873

# 4
# MgZnGe (PBE-GGA, relaxed)
# total energy = -7.38 eV per formula unit
# mass density = 4.710 g/cm3
# density of states at the Fermi level = 0.293 states/eV/atom
# ΔH_f (0 K) = 0.034 eV/atom
data_MgZnGe
_space_group_name_H-M_alt 'A m m 2'
_space_group_IT_number 38
_space_group_name_Hall 'A 2 -2'
_cell_length_a 3.9722
_cell_length_b 3.9067
_cell_length_c 14.7550
_cell_angle_alpha 90.00
_cell_angle_beta 90.00
_cell_angle_gamma 90.00
loop_
_atom_site_label
_atom_site_type_symbol
_atom_site_fract_x
_atom_site_fract_y
_atom_site_fract_z
Mg1 Mg 0.0000 0.0000 0.0000
Mg2 Mg 0.5000 0.0000 0.1930
Zn1 Zn 0.0000 0.0000 0.8180
Zn2 Zn 0.5000 0.0000 0.5466
Ge1 Ge 0.0000 0.0000 0.6469
Ge2 Ge 0.5000 0.0000 0.3787

# 5
# Mg12Zn5Ge3 (PBE-GGA, relaxed)
# total energy = -35.35 eV per formula unit
# mass density = 2.788 g/cm3
# density of states at the Fermi level = 0.424 states/eV/atom
# ΔH_f (0 K) = 0.200 eV/atom
data_Mg12Zn5Ge3
_space_group_name_H-M_alt 'I a -3 d'
_space_group_IT_number 230
_space_group_name_Hall '-I 4bd 2c 3'
_cell_length_a 15.8561
_cell_length_b 15.8561
_cell_length_c 15.8561
_cell_angle_alpha 90.00
_cell_angle_beta 90.00
_cell_angle_gamma 90.00
loop_
_atom_site_label
_atom_site_type_symbol
_atom_site_fract_x
_atom_site_fract_y
_atom_site_fract_z
Mg1 Mg 0.0163 0.0788 0.6470
Zn1 Zn 0.0000 0.0000 0.0000
Zn2 Zn 0.0000 0.2500 0.3750
Ge1 Ge 0.0000 0.2500 0.1250

# 6
# Mg2Zn2Ge (PBE-GGA, relaxed)
# offset from the most stable computed form = 145 meV/atom
# total energy = -9.85 eV per formula unit
# mass density = 4.312 g/cm3
# density of states at the Fermi level = 0.302 states/eV/atom
# ΔH_f (0 K) = 0.101 eV/atom
data_Mg2Zn2Ge
_space_group_name_H-M_alt 'P 4/m b m'
_space_group_IT_number 127
_space_group_name_Hall '-P 4 2ab'
_cell_length_a 7.7588
_cell_length_b 7.7588
_cell_length_c 3.2247
_cell_angle_alpha 90.00
_cell_angle_beta 90.00
_cell_angle_gamma 90.00
loop_
_atom_site_label
_atom_site_type_symbol
_atom_site_fract_x
_atom_site_fract_y
_atom_site_fract_z
Mg1 Mg 0.1766 0.3234 0.0000
Zn1 Zn 0.1199 0.6199 0.5000
Ge1 Ge 0.0000 0.0000 0.0000

# 7
# MgZn2Ge2 (PBE-GGA, relaxed)
# offset from the most stable computed form = 73 meV/atom
# total energy = -12.79 eV per formula unit
# mass density = 5.269 g/cm3
# density of states at the Fermi level = 0.449 states/eV/atom
# ΔH_f (0 K) = 0.117 eV/atom
data_MgZn2Ge2
_space_group_name_H-M_alt 'P 4/m b m'
_space_group_IT_number 127
_space_group_name_Hall '-P 4 2ab'
_cell_length_a 6.9915
_cell_length_b 6.9915
_cell_length_c 3.8737
_cell_angle_alpha 90.00
_cell_angle_beta 90.00
_cell_angle_gamma 90.00
loop_
_atom_site_label
_atom_site_type_symbol
_atom_site_fract_x
_atom_site_fract_y
_atom_site_fract_z
Mg1 Mg 0.0000 0.0000 0.0000
Zn1 Zn 0.1758 0.3242 0.5000
Ge1 Ge 0.1291 0.6291 0.0000

# 8
# MgZnGe (PBE-GGA, relaxed)
# total energy = -7.42 eV per formula unit
# mass density = 4.741 g/cm3
# density of states at the Fermi level = 0.282 states/eV/atom
# ΔH_f (0 K) = 0.023 eV/atom
data_MgZnGe
_space_group_name_H-M_alt 'P -1'
_space_group_IT_number 2
_space_group_name_Hall '-P 1'
_cell_length_a 3.1751
_cell_length_b 5.3056
_cell_length_c 7.3495
_cell_angle_alpha 105.06
_cell_angle_beta 90.27
_cell_angle_gamma 107.26
loop_
_atom_site_label
_atom_site_type_symbol
_atom_site_fract_x
_atom_site_fract_y
_atom_site_fract_z
Mg1 Mg 0.1535 0.3085 0.1386
Zn1 Zn 0.3545 0.7109 0.5078
Ge1 Ge 0.4376 0.8695 0.1983

# 9
# MgZn2Ge2 (PBE-GGA, relaxed)
# offset from the most stable computed form = 58 meV/atom
# total energy = -12.87 eV per formula unit
# mass density = 5.423 g/cm3
# density of states at the Fermi level = 0.406 states/eV/atom
# ΔH_f (0 K) = 0.102 eV/atom
data_MgZn2Ge2
_space_group_name_H-M_alt 'P 4/m b m'
_space_group_IT_number 127
_space_group_name_Hall '-P 4 2ab'
_cell_length_a 7.5062
_cell_length_b 7.5062
_cell_length_c 3.2653
_cell_angle_alpha 90.00
_cell_angle_beta 90.00
_cell_angle_gamma 90.00
loop_
_atom_site_label
_atom_site_type_symbol
_atom_site_fract_x
_atom_site_fract_y
_atom_site_fract_z
Mg1 Mg 0.0000 0.0000 0.0000
Zn1 Zn 0.1216 0.3784 0.0000
Ge1 Ge 0.1798 0.6798 0.5000

# 10
# MgZnGe (PBE-GGA, relaxed)
# total energy = -7.61 eV per formula unit
# mass density = 4.885 g/cm3
# density of states at the Fermi level = 0.103 states/eV/atom
# ΔH_f (0 K) = -0.040 eV/atom
data_MgZnGe
_space_group_name_H-M_alt 'P -6 m 2'
_space_group_IT_number 187
_space_group_name_Hall 'P -6 2'
_cell_length_a 4.4094
_cell_length_b 4.4094
_cell_length_c 3.2775
_cell_angle_alpha 90.00
_cell_angle_beta 90.00
_cell_angle_gamma 120.00
loop_
_atom_site_label
_atom_site_type_symbol
_atom_site_fract_x
_atom_site_fract_y
_atom_site_fract_z
Mg1 Mg 0.0000 0.0000 0.0000
Zn1 Zn 0.6667 0.3333 0.5000
Ge1 Ge 0.3333 0.6667 0.5000

# 11
# MgZn3Ge (PBE-GGA, relaxed)
# offset from the most stable computed form = 0 meV/atom
# total energy = -7.95 eV per formula unit
# mass density = 4.066 g/cm3
# density of states at the Fermi level = 0.452 states/eV/atom
# ΔH_f (0 K) = 0.416 eV/atom
data_MgZn3Ge
_space_group_name_H-M_alt 'P m -3 m'
_space_group_IT_number 221
_space_group_name_Hall '-P 4 2 3'
_cell_length_a 4.9288
_cell_length_b 4.9288
_cell_length_c 4.9288
_cell_angle_alpha 90.00
_cell_angle_beta 90.00
_cell_angle_gamma 90.00
loop_
_atom_site_label
_atom_site_type_symbol
_atom_site_fract_x
_atom_site_fract_y
_atom_site_fract_z
Mg1 Mg 0.0000 0.0000 0.0000
Zn1 Zn 0.0000 0.5000 0.5000
Ge1 Ge 0.5000 0.5000 0.5000

# 12
# MgZnGe3 (PBE-GGA, relaxed)
# offset from the most stable computed form = 268 meV/atom
# total energy = -12.90 eV per formula unit
# mass density = 4.034 g/cm3
# density of states at the Fermi level = 0.321 states/eV/atom
# ΔH_f (0 K) = 0.764 eV/atom
data_MgZnGe3
_space_group_name_H-M_alt 'P m -3 m'
_space_group_IT_number 221
_space_group_name_Hall '-P 4 2 3'
_cell_length_a 5.0218
_cell_length_b 5.0218
_cell_length_c 5.0218
_cell_angle_alpha 90.00
_cell_angle_beta 90.00
_cell_angle_gamma 90.00
loop_
_atom_site_label
_atom_site_type_symbol
_atom_site_fract_x
_atom_site_fract_y
_atom_site_fract_z
Mg1 Mg 0.0000 0.0000 0.0000
Zn1 Zn 0.5000 0.5000 0.5000
Ge1 Ge 0.0000 0.0000 0.5000

# 13
# Mg2Zn2Ge (PBE-GGA, relaxed)
# offset from the most stable computed form = 0 meV/atom
# total energy = -10.57 eV per formula unit
# mass density = 4.479 g/cm3
# density of states at the Fermi level = 0.341 states/eV/atom
# ΔH_f (0 K) = -0.044 eV/atom
data_Mg2Zn2Ge
_space_group_name_H-M_alt 'P 4/m b m'
_space_group_IT_number 127
_space_group_name_Hall '-P 4 2ab'
_cell_length_a 6.6501
_cell_length_b 6.6501
_cell_length_c 4.2266
_cell_angle_alpha 90.00
_cell_angle_beta 90.00
_cell_angle_gamma 90.00
loop_
_atom_site_label
_atom_site_type_symbol
_atom_site_fract_x
_atom_site_fract_y
_atom_site_fract_z
Mg1 Mg 0.1687 0.3313 0.0000
Zn1 Zn 0.1325 0.6325 0.5000
Ge1 Ge 0.0000 0.0000 0.5000

# 14
# Mg2Zn2Ge (PBE-GGA, relaxed)
# offset from the most stable computed form = 253 meV/atom
# total energy = -9.31 eV per formula unit
# mass density = 4.155 g/cm3
# density of states at the Fermi level = 0.430 states/eV/atom
# ΔH_f (0 K) = 0.209 eV/atom
data_Mg2Zn2Ge
_space_group_name_H-M_alt 'I 4/m m m'
_space_group_IT_number 139
_space_group_name_Hall '-I 4 2'
_cell_length_a 4.0623
_cell_length_b 4.0623
_cell_length_c 12.2084
_cell_angle_alpha 90.00
_cell_angle_beta 90.00
_cell_angle_gamma 90.00
loop_
_atom_site_label
_atom_site_type_symbol
_atom_site_fract_x
_atom_site_fract_y
_atom_site_fract_z
Mg1 Mg 0.0000 0.5000 0.2500
Zn1 Zn 0.0000 0.0000 0.0975
Ge1 Ge 0.0000 0.0000 0.5000

# 15
# Mg2ZnGe (PBE-GGA, relaxed)
# total energy = -9.11 eV per formula unit
# mass density = 3.593 g/cm3
# density of states at the Fermi level = 0.303 states/eV/atom
# ΔH_f (0 K) = -0.007 eV/atom
data_Mg2ZnGe
_space_group_name_H-M_alt 'R 3 m'
_space_group_IT_number 160
_space_group_name_Hall 'R 3 -2"'
_cell_length_a 4.4388
_cell_length_b 4.4388
_cell_length_c 15.1656
_cell_angle_alpha 90.00
_cell_angle_beta 90.00
_cell_angle_gamma 120.00
loop_
_atom_site_label
_atom_site_type_symbol
_atom_site_fract_x
_atom_site_fract_y
_atom_site_fract_z
Mg1 Mg 0.0000 0.0000 0.0000
Mg2 Mg 0.0000 0.0000 0.2024
Zn1 Zn 0.0000 0.0000 0.4296
Ge1 Ge 0.0000 0.0000 0.6023

# 16
# MgZnGe (PBE-GGA, relaxed)
# total energy = -7.42 eV per formula unit
# mass density = 4.752 g/cm3
# density of states at the Fermi level = 0.288 states/eV/atom
# ΔH_f (0 K) = 0.021 eV/atom
data_MgZnGe
_space_group_name_H-M_alt 'P m m 2'
_space_group_IT_number 25
_space_group_name_Hall 'P 2 -2'
_cell_length_a 4.0149
_cell_length_b 4.1665
_cell_length_c 6.7835
_cell_angle_alpha 90.00
_cell_angle_beta 90.00
_cell_angle_gamma 90.00
loop_
_atom_site_label
_atom_site_type_symbol
_atom_site_fract_x
_atom_site_fract_y
_atom_site_fract_z
Mg1 Mg 0.0000 0.0000 0.0000
Mg2 Mg 0.0000 0.5000 0.3551
Zn1 Zn 0.5000 0.0000 0.6611
Zn2 Zn 0.5000 0.5000 0.0148
Ge1 Ge 0.0000 0.5000 0.7469
Ge2 Ge 0.5000 0.0000 0.2776

# 17
# MgZnGe (PBE-GGA, relaxed)
# total energy = -7.34 eV per formula unit
# mass density = 4.808 g/cm3
# density of states at the Fermi level = 0.320 states/eV/atom
# ΔH_f (0 K) = 0.050 eV/atom
data_MgZnGe
_space_group_name_H-M_alt 'P 1'
_space_group_IT_number 1
_space_group_name_Hall 'P 1'
_cell_length_a 4.0875
_cell_length_b 4.1220
_cell_length_c 7.0099
_cell_angle_alpha 73.00
_cell_angle_beta 83.50
_cell_angle_gamma 89.97
loop_
_atom_site_label
_atom_site_type_symbol
_atom_site_fract_x
_atom_site_fract_y
_atom_site_fract_z
Mg1 Mg 0.0000 0.0000 0.0000
Mg2 Mg 0.4188 0.8259 0.3500
Zn1 Zn 0.8227 0.6597 0.6814
Zn2 Zn 0.9165 0.3261 0.3496
Ge1 Ge 0.3328 0.1863 0.6294
Ge2 Ge 0.5147 0.4713 0.0584

# 18
# MgZn3Ge (PBE-GGA, relaxed)
# offset from the most stable computed form = 379 meV/atom
# total energy = -6.06 eV per formula unit
# mass density = 4.038 g/cm3
# density of states at the Fermi level = 0.634 states/eV/atom
# ΔH_f (0 K) = 0.795 eV/atom
data_MgZn3Ge
_space_group_name_H-M_alt 'P m -3 m'
_space_group_IT_number 221
_space_group_name_Hall '-P 4 2 3'
_cell_length_a 4.9402
_cell_length_b 4.9402
_cell_length_c 4.9402
_cell_angle_alpha 90.00
_cell_angle_beta 90.00
_cell_angle_gamma 90.00
loop_
_atom_site_label
_atom_site_type_symbol
_atom_site_fract_x
_atom_site_fract_y
_atom_site_fract_z
Mg1 Mg 0.0000 0.0000 0.0000
Zn1 Zn 0.0000 0.0000 0.5000
Ge1 Ge 0.5000 0.5000 0.5000

# 19
# Mg2ZnGe (PBE-GGA, relaxed)
# total energy = -8.51 eV per formula unit
# mass density = 3.715 g/cm3
# density of states at the Fermi level = 0.454 states/eV/atom
# ΔH_f (0 K) = 0.141 eV/atom
data_Mg2ZnGe
_space_group_name_H-M_alt 'I -4 2 d'
_space_group_IT_number 122
_space_group_name_Hall 'I -4 2bw'
_cell_length_a 4.2272
_cell_length_b 4.2272
_cell_length_c 18.6767
_cell_angle_alpha 90.00
_cell_angle_beta 90.00
_cell_angle_gamma 90.00
loop_
_atom_site_label
_atom_site_type_symbol
_atom_site_fract_x
_atom_site_fract_y
_atom_site_fract_z
Mg1 Mg 0.2458 0.2500 0.1250
Zn1 Zn 0.0000 0.0000 0.0000
Ge1 Ge 0.0000 0.0000 0.5000

# 20
# Mg2ZnGe (PBE-GGA, relaxed)
# total energy = -8.53 eV per formula unit
# mass density = 3.702 g/cm3
# density of states at the Fermi level = 0.500 states/eV/atom
# ΔH_f (0 K) = 0.138 eV/atom
data_Mg2ZnGe
_space_group_name_H-M_alt 'R -3 m'
_space_group_IT_number 166
_space_group_name_Hall '-R 3 2"'
_cell_length_a 3.1020
_cell_length_b 3.1020
_cell_length_c 30.1461
_cell_angle_alpha 90.00
_cell_angle_beta 90.00
_cell_angle_gamma 120.00
loop_
_atom_site_label
_atom_site_type_symbol
_atom_site_fract_x
_atom_site_fract_y
_atom_site_fract_z
Mg1 Mg 0.0000 0.0000 0.0911
Zn1 Zn 0.0000 0.0000 0.0000
Ge1 Ge 0.0000 0.0000 0.5000